## a
A crystal of Zn3Ag2 relaxed with PBEsol, computed with meta-GGA SCAN.

Unit cell a=11.039 b=11.039 c=11.039 alpha=14.71 beta=14.71 gamma=14.71
Atoms (fractional coordinates):
Zn 0.000 0.000 0.000
Zn 0.199 0.199 0.199
Zn 0.801 0.801 0.801
Ag 0.400 0.400 0.400
Ag 0.600 0.600 0.600



## b
A crystal of Zn3Ag2 relaxed with PBEsol, computed with meta-GGA SCAN.

Unit cell a=9.320 b=9.320 c=9.320 alpha=162.35 beta=162.35 gamma=25.06
Atoms (fractional coordinates):
Zn 0.000 0.000 0.000
Zn 0.204 0.204 0.000
Zn 0.796 0.796 0.000
Ag 0.399 0.399 0.000
Ag 0.601 0.601 0.000



## c
A crystal of Zn3Ag2 relaxed with PBEsol, computed with meta-GGA SCAN.

Unit cell a=4.302 b=4.302 c=5.235 alpha=90.00 beta=90.00 gamma=120.00
Atoms (fractional coordinates):
Zn 0.000 0.000 0.000
Zn 0.333 0.667 0.364
Zn 0.667 0.333 0.636
Ag 0.333 0.667 0.852
Ag 0.667 0.333 0.148



## d
A crystal of Zn3Ag2 relaxed with PBEsol, computed with meta-GGA SCAN.

Unit cell a=6.952 b=5.195 c=7.900 alpha=59.99 beta=40.32 gamma=79.70
Atoms (fractional coordinates):
Zn 0.000 0.000 0.000
Zn 0.250 0.250 0.250
Zn 0.393 0.500 0.407
Zn 0.500 0.393 0.701
Zn 0.549 0.843 0.750
Zn 0.843 0.549 0.857
Ag 0.077 0.751 0.319
Ag 0.397 0.931 0.499
Ag 0.751 0.077 0.853
Ag 0.931 0.397 0.173



Most stable pick: b. Distance to second place: 11 meV per atom.



## a
A crystal of Zn3Ag2 relaxed with PBEsol, computed with meta-GGA SCAN.

Unit cell a=7.408 b=7.408 c=7.408 alpha=156.87 beta=151.88 gamma=36.72
Atoms (fractional coordinates):
Zn 0.000 0.000 0.000
Zn 0.403 0.403 0.000
Zn 0.597 0.597 0.000
Ag 0.193 0.193 0.000
Ag 0.807 0.807 0.000



## b
A crystal of Zn3Ag2 relaxed with PBEsol, computed with meta-GGA SCAN.

Unit cell a=4.916 b=4.916 c=6.808 alpha=126.70 beta=126.70 gamma=35.46
Atoms (fractional coordinates):
Zn 0.000 0.000 0.000
Zn 0.398 0.398 0.610
Zn 0.602 0.602 0.390
Ag 0.194 0.194 0.784
Ag 0.806 0.806 0.216



Most stable pick: b. Distance to second place: 17 meV per atom.



## a
A crystal of Zn4Ag relaxed with PBEsol, computed with meta-GGA SCAN.

Unit cell a=10.930 b=10.930 c=10.930 alpha=14.70 beta=14.70 gamma=14.70
Atoms (fractional coordinates):
Zn 0.098 0.098 0.098
Zn 0.301 0.301 0.301
Zn 0.699 0.699 0.699
Zn 0.902 0.902 0.902
Ag 0.500 0.500 0.500



## b
A crystal of Zn4Ag relaxed with PBEsol, computed with meta-GGA SCAN.

Unit cell a=4.754 b=4.754 c=4.754 alpha=99.13 beta=99.13 gamma=133.05
Atoms (fractional coordinates):
Zn 0.098 0.305 0.403
Zn 0.305 0.902 0.207
Zn 0.695 0.098 0.793
Zn 0.902 0.695 0.597
Ag 0.500 0.500 0.000



Most stable pick: b. Distance to second place: 13 meV per atom.



## a
A crystal of Zn4Ag relaxed with PBEsol, computed with meta-GGA SCAN.

Unit cell a=7.078 b=7.078 c=7.078 alpha=156.86 beta=148.60 gamma=39.37
Atoms (fractional coordinates):
Zn 0.103 0.103 0.000
Zn 0.298 0.298 0.000
Zn 0.702 0.702 0.000
Zn 0.897 0.897 0.000
Ag 0.500 0.500 0.000



## b
A crystal of Zn4Ag relaxed with PBEsol, computed with meta-GGA SCAN.

Unit cell a=4.704 b=4.704 c=6.593 alpha=118.99 beta=118.99 gamma=35.11
Atoms (fractional coordinates):
Zn 0.103 0.103 0.406
Zn 0.305 0.305 0.206
Zn 0.695 0.695 0.794
Zn 0.897 0.897 0.594
Ag 0.500 0.500 0.000



Most stable pick: a. Distance to second place: 7 meV per atom.



## a
A crystal of ZnAg4 relaxed with PBEsol, computed with meta-GGA SCAN.

Unit cell a=11.399 b=11.399 c=11.399 alpha=14.45 beta=14.45 gamma=14.45
Atoms (fractional coordinates):
Zn 0.000 0.000 0.000
Ag 0.201 0.201 0.201
Ag 0.397 0.397 0.397
Ag 0.603 0.603 0.603
Ag 0.799 0.799 0.799



## b
A crystal of ZnAg4 relaxed with PBEsol, computed with meta-GGA SCAN.

Unit cell a=10.090 b=10.090 c=10.090 alpha=163.82 beta=163.82 gamma=22.96
Atoms (fractional coordinates):
Zn 0.000 0.000 0.000
Ag 0.198 0.198 0.000
Ag 0.406 0.406 0.000
Ag 0.594 0.594 0.000
Ag 0.802 0.802 0.000



Most stable pick: b. Distance to second place: 9 meV per atom.



## a
A crystal of Zn5Ag4 relaxed with PBEsol, computed with meta-GGA SCAN.

Unit cell a=7.649 b=7.649 c=5.388 alpha=90.00 beta=90.00 gamma=120.00
Atoms (fractional coordinates):
Zn 0.000 0.307 0.250
Zn 0.000 0.693 0.750
Zn 0.307 0.000 0.250
Zn 0.307 0.307 0.750
Zn 0.333 0.667 0.000
Zn 0.333 0.667 0.500
Zn 0.667 0.333 0.000
Zn 0.667 0.333 0.500
Zn 0.693 0.000 0.750
Zn 0.693 0.693 0.250
Ag 0.000 0.000 0.000
Ag 0.000 0.000 0.500
Ag 0.000 0.363 0.750
Ag 0.000 0.637 0.250
Ag 0.363 0.000 0.750
Ag 0.363 0.363 0.250
Ag 0.637 0.000 0.250
Ag 0.637 0.637 0.750



## b
A crystal of Zn5Ag4 relaxed with PBEsol, computed with meta-GGA SCAN.

Unit cell a=6.627 b=6.627 c=6.627 alpha=93.54 beta=93.54 gamma=151.22
Atoms (fractional coordinates):
Zn 0.000 0.000 0.000
Zn 0.333 0.333 0.667
Zn 0.333 0.667 0.000
Zn 0.667 0.333 0.000
Zn 0.667 0.667 0.333
Ag 0.000 0.322 0.322
Ag 0.000 0.678 0.678
Ag 0.322 0.000 0.322
Ag 0.678 0.000 0.678



Most stable pick: b. Distance to second place: 12 meV per atom.



## a
A crystal of Zn3Ag4 relaxed with PBEsol, computed with meta-GGA SCAN.

Unit cell a=4.902 b=4.902 c=5.225 alpha=90.00 beta=90.00 gamma=120.00
Atoms (fractional coordinates):
Zn 0.000 0.500 0.000
Zn 0.500 0.000 0.000
Zn 0.500 0.500 0.000
Ag 0.000 0.000 0.255
Ag 0.000 0.000 0.745
Ag 0.333 0.667 0.500
Ag 0.667 0.333 0.500



## b
A crystal of Zn3Ag4 relaxed with PBEsol, computed with meta-GGA SCAN.

Unit cell a=11.508 b=11.508 c=11.508 alpha=164.63 beta=164.63 gamma=21.81
Atoms (fractional coordinates):
Zn 0.000 0.000 0.000
Zn 0.282 0.282 0.000
Zn 0.718 0.718 0.000
Ag 0.149 0.149 0.000
Ag 0.432 0.432 0.000
Ag 0.568 0.568 0.000
Ag 0.851 0.851 0.000



Most stable pick: b. Distance to second place: 22 meV per atom.



## a
A crystal of Zn4Ag5 relaxed with PBEsol, computed with meta-GGA SCAN.

Unit cell a=6.623 b=6.623 c=6.623 alpha=93.78 beta=93.78 gamma=150.26
Atoms (fractional coordinates):
Zn 0.000 0.337 0.337
Zn 0.000 0.663 0.663
Zn 0.337 0.000 0.337
Zn 0.663 0.000 0.663
Ag 0.000 0.000 0.000
Ag 0.333 0.333 0.666
Ag 0.333 0.667 0.000
Ag 0.667 0.333 0.000
Ag 0.667 0.667 0.334



## b
A crystal of Zn4Ag5 relaxed with PBEsol, computed with meta-GGA SCAN.

Unit cell a=7.684 b=7.684 c=5.420 alpha=90.00 beta=90.00 gamma=120.00
Atoms (fractional coordinates):
Zn 0.000 0.000 0.000
Zn 0.000 0.000 0.500
Zn 0.000 0.365 0.250
Zn 0.000 0.635 0.750
Zn 0.365 0.000 0.250
Zn 0.365 0.365 0.750
Zn 0.635 0.000 0.750
Zn 0.635 0.635 0.250
Ag 0.000 0.300 0.750
Ag 0.000 0.700 0.250
Ag 0.300 0.000 0.750
Ag 0.300 0.300 0.250
Ag 0.333 0.667 0.000
Ag 0.333 0.667 0.500
Ag 0.667 0.333 0.000
Ag 0.667 0.333 0.500
Ag 0.700 0.000 0.250
Ag 0.700 0.700 0.750



Most stable pick: b. Distance to second place: 20 meV per atom.



## a
A crystal of ZrAg2 relaxed with PBEsol, computed with meta-GGA SCAN.

Unit cell a=6.445 b=6.445 c=6.445 alpha=153.17 beta=153.17 gamma=38.30
Atoms (fractional coordinates):
Zr 0.000 0.000 0.000
Ag 0.328 0.328 0.000
Ag 0.672 0.672 0.000



## b
A crystal of ZrAg2 relaxed with PBEsol, computed with meta-GGA SCAN.

Unit cell a=2.949 b=2.949 c=7.260 alpha=90.00 beta=90.00 gamma=120.00
Atoms (fractional coordinates):
Zr 0.000 0.000 0.000
Ag 0.333 0.667 0.659
Ag 0.667 0.333 0.341



Most stable pick: a. Distance to second place: 80 meV per atom.



## a
A crystal of ZrAg2 relaxed with PBEsol, computed with meta-GGA SCAN.

Unit cell a=5.078 b=5.078 c=5.078 alpha=145.76 beta=132.47 gamma=59.87
Atoms (fractional coordinates):
Zr 0.000 0.000 0.000
Ag 0.330 0.330 0.000
Ag 0.670 0.670 0.000



## b
A crystal of ZrAg2 relaxed with PBEsol, computed with meta-GGA SCAN.

Unit cell a=6.485 b=6.485 c=4.291 alpha=90.00 beta=90.00 gamma=142.51
Atoms (fractional coordinates):
Zr 0.088 0.912 0.750
Zr 0.912 0.088 0.250
Ag 0.246 0.754 0.250
Ag 0.418 0.582 0.750
Ag 0.582 0.418 0.250
Ag 0.754 0.246 0.750



Most stable pick: a. Distance to second place: 77 meV per atom.



## a
A crystal of ZrAg2 relaxed with PBEsol, computed with meta-GGA SCAN.

Unit cell a=4.700 b=4.700 c=2.808 alpha=90.00 beta=90.00 gamma=120.00
Atoms (fractional coordinates):
Zr 0.000 0.000 0.000
Ag 0.333 0.667 0.500
Ag 0.667 0.333 0.500



## b
A crystal of ZrAg2 relaxed with PBEsol, computed with meta-GGA SCAN.

Unit cell a=5.826 b=5.826 c=6.329 alpha=106.53 beta=106.53 gamma=32.75
Atoms (fractional coordinates):
Zr 0.162 0.162 0.091
Zr 0.838 0.838 0.909
Ag 0.168 0.168 0.572
Ag 0.490 0.490 0.266
Ag 0.510 0.510 0.734
Ag 0.832 0.832 0.428



## c
A crystal of ZrAg2 relaxed with PBEsol, computed with meta-GGA SCAN.

Unit cell a=6.355 b=6.355 c=6.161 alpha=104.52 beta=104.52 gamma=27.32
Atoms (fractional coordinates):
Zr 0.171 0.171 0.324
Zr 0.829 0.829 0.676
Ag 0.159 0.159 0.834
Ag 0.500 0.500 0.000
Ag 0.500 0.500 0.500
Ag 0.841 0.841 0.166



Most stable pick: a. Distance to second place: 69 meV per atom.



## a
A crystal of Zr3Ag2 relaxed with PBEsol, computed with meta-GGA SCAN.

Unit cell a=5.271 b=5.271 c=7.365 alpha=119.41 beta=119.41 gamma=34.42
Atoms (fractional coordinates):
Zr 0.000 0.000 0.000
Zr 0.183 0.183 0.789
Zr 0.817 0.817 0.211
Ag 0.388 0.388 0.593
Ag 0.612 0.612 0.407



## b
A crystal of Zr3Ag2 relaxed with PBEsol, computed with meta-GGA SCAN.

Unit cell a=10.859 b=10.859 c=10.859 alpha=163.91 beta=163.91 gamma=22.83
Atoms (fractional coordinates):
Zr 0.000 0.000 0.000
Zr 0.197 0.197 0.000
Zr 0.803 0.803 0.000
Ag 0.403 0.403 0.000
Ag 0.597 0.597 0.000



Most stable pick: b. Distance to second place: 36 meV per atom.